A relaxed KBeFe3 crystal, computed with PBE.

As for the calculated total energy: -4.964 eV/atom. The calculation puts the energy relative to the lowest polymorph listed for this composition at 0.0 meV per atom. As for the formation energy: 1.0787 eV per atom. The density comes out at 4.42 g/cm3.

Cell: 4.3276 4.3276 4.3276 Å, 90.00 90.00 90.00°
With the nearest neighbours (Å) after each atom.
Space group Pm-3m (No. 221)
Symmetry-distinct sites (fractional):
K  0.0000  0.0000  0.0000 [1 per cell]  12 Fe 3.06
Be  0.5000  0.5000  0.5000 [1 per cell]  6 Fe 2.16
Fe  0.0000  0.5000  0.5000 [3 per cell]  2 Be 2.16